Entry 1:
12
Lattice="-2.500 4.999 7.591 2.500 -4.999 7.591 2.500 4.999 -7.591" Properties=species:S:1:pos:R:3 comment="Sm6Dy5In (PBE, optimized geometry)" crystal_system=orthorhombic ef_ev_per_atom=-0.058 pbc="T T T"
Sm 2.500 2.457 -2.513
Sm 0.000 2.446 0.000
Sm 2.500 2.457 2.513
Sm 0.000 2.541 5.078
Sm 0.000 7.552 0.000
Sm 0.000 2.541 10.104
Dy 0.000 0.000 2.539
Dy 2.500 0.000 5.100
Dy 0.000 0.000 7.591
Dy 0.000 4.999 2.491
Dy 0.000 0.000 12.644
In 2.500 0.000 0.000

Entry 2:
10
Lattice="5.764 -3.530 0.000 5.764 3.530 0.000 -1.685 0.000 7.087" Properties=species:S:1:pos:R:3 comment="Tm6Tl3Ru (PBE, optimized geometry)" crystal_system=monoclinic ef_ev_per_atom=-0.165 pbc="T T T"
Tm 3.391 1.788 4.626
Tm 3.562 0.000 1.146
Tm 6.452 1.788 2.461
Tm 3.391 -1.788 4.626
Tm 6.282 0.000 5.942
Tm 6.452 -1.788 2.461
Tl 0.000 0.000 0.000
Tl 0.812 0.000 5.186
Tl 9.032 0.000 1.901
Ru 4.922 0.000 3.544

What is the formula in the first record?
Sm6Dy5In